## PaTiSb (PBE)

Data for a relaxed structure of PaTiSb.

Calculated values
- distance to the lowest polymorph of the same formula (meV/atom) = 20
- calculated total energy (eV/atom) = -7.513
- energy relative to the elements, uncorrected (eV per atom) = -0.342

The structure in POSCAR format:
```
PaTiSb
1.0
4.3361 0.0000 0.0000
0.0000 4.3361 0.0000
0.0000 0.0000 14.9995
Pa Ti Sb
4 4 4
Direct
0.0000 0.0000 0.1600
0.0000 0.0000 0.8400
0.5000 0.5000 0.3400
0.5000 0.5000 0.6600
0.0000 0.5000 0.0000
0.0000 0.5000 0.5000
0.5000 0.0000 0.0000
0.5000 0.0000 0.5000
0.0000 0.0000 0.3714
0.0000 0.0000 0.6286
0.5000 0.5000 0.1286
0.5000 0.5000 0.8714
```